Compound: PrErP
Source: Alexandria via LeMat-Bulk
Functional: PBE
Structure: relaxed

Values from the calculation:
Symmetry   Cmcm
E_form   -1.5 eV/f.u.
Volume   32.23 Å³ per atom
Spin magnetization   0.368 μB per formula unit

```
PrErP
1.0
-1.4165 1.8346 5.3343
-5.8514 -2.6148 -0.6545
5.2578 -2.8623 2.3806
P Er Pr
2 2 2
direct
0.7500 0.7985 0.2015
0.2500 0.2015 0.7985
0.5000 0.0000 0.0000
0.0000 0.0000 0.0000
0.7500 0.2947 0.7053
0.2500 0.7053 0.2947
```

***

Compound: YCd2Pb
Source: Alexandria via LeMat-Bulk
Functional: PBE
Structure: relaxed

Values from the calculation:
Symmetry   I4/mmm
E_form   -1.1 eV/f.u.
Volume   25.69 Å³ per atom
Spin magnetization   0.000 μB per formula unit

```
YCd2Pb
1.0
5.9237 -0.0274 0.0473
4.2011 4.1764 0.0473
1.7111 0.7012 4.1500
Cd Pb Y
2 1 1
direct
0.5000 0.5000 0.5001
0.0000 0.0000 0.9999
0.7500 0.7500 0.7500
0.2500 0.2500 0.2500
```

***

Compound: LuPaPd2
Source: Alexandria via LeMat-Bulk
Functional: PBE
Structure: relaxed

Values from the calculation:
Excess energy over the best structure of this formula in the dataset   0.0 meV/atom
Symmetry   P4/mmm
E_form   -2.6 eV/f.u.
Volume   20.74 Å³ per atom
Spin magnetization   0.895 μB per formula unit

```
LuPaPd2
1.0
-3.2530 -0.6903 0.2561
0.6550 -2.1834 2.4347
-0.7519 5.4233 5.0658
Pa Pd Lu
1 2 1
direct
0.5000 0.5000 0.0000
0.0000 0.0000 0.7332
0.0000 0.0000 0.2668
0.5000 0.5000 0.5000
```

***

Compound: Hg2AsPbN
Source: Alexandria via LeMat-Bulk
Functional: PBE
Structure: relaxed

Values from the calculation:
Symmetry   P4/mmm
Raw formation energy   1213 meV per atom
Volume   29.80 Å³ per atom
Spin magnetization   1.278 μB per formula unit

```
Hg2AsPbN
1.0
-5.9967 -0.0559 0.7629
0.1664 -3.9440 1.0194
0.7240 1.5306 5.8034
N Hg Pb As
1 2 1 1
direct
0.0000 0.5000 0.0000
0.5000 0.0000 0.0000
0.0000 0.0000 0.5000
0.0000 0.0000 0.0000
0.5000 0.5000 0.5000
```

***

Compound: Li4Cd3Ag4
Source: Alexandria via LeMat-Bulk
Functional: PBE
Structure: relaxed

Values from the calculation:
Excess energy over the best structure of this formula in the dataset   0.0 meV/atom
Symmetry   P-1
E_form   -2.2 eV/f.u.
Volume   17.83 Å³ per atom
Spin magnetization   0.000 μB per formula unit

```
Li4Cd3Ag4
1.0
2.9874 0.0021 -0.2520
-0.0342 3.9373 -0.4916
-0.0660 0.0934 16.6650
Li Ag Cd
4 4 3
direct
0.4529 0.4511 0.9032
0.1847 0.1874 0.3730
0.8153 0.8126 0.6270
0.5471 0.5489 0.0968
0.9114 0.9095 0.8197
0.0885 0.0905 0.1803
0.7266 0.7266 0.4536
0.2733 0.2734 0.5464
0.0000 0.0000 0.0000
0.3637 0.3605 0.7236
0.6363 0.6395 0.2764
```

***

Compound: CrTcPt2
Source: Alexandria via LeMat-Bulk
Functional: PBE
Structure: relaxed

Values from the calculation:
Excess energy over the best structure of this formula in the dataset   309.4 meV/atom
Symmetry   F-43m
E_form   0.5 eV/f.u.
Volume   15.05 Å³ per atom
Spin magnetization   1.131 μB per formula unit

```
CrTcPt2
1.0
-3.1977 2.5497 -1.6216
-0.2291 0.7558 -4.3280
-3.2444 -1.7844 -2.3759
Pt Cr Tc
2 1 1
direct
0.0000 0.0000 0.0000
0.2500 0.2500 0.2500
0.5000 0.5000 0.5000
0.7500 0.7500 0.7500
```